## ScAlPd4 (PBE)

Data for a geometry-optimized ScAlPd4 structure.

Formation energy from the elements ... -814.5 meV/atom

a b c (Å): 4.1847 7.4189 12.2381
angles (deg): 90.00 90.00 90.00
Sites, in units of the cell vectors:
Pd 0.7500 0.7500 0.4160
Pd 0.7500 0.4837 0.9039
Pd 0.7500 0.2500 0.0840
Pd 0.7500 0.9837 0.5961
Pd 0.7500 0.5163 0.5961
Pd 0.7500 0.5000 0.2500
Pd 0.2500 0.4837 0.4039
Pd 0.7500 0.0163 0.9039
Pd 0.2500 0.5163 0.0961
Pd 0.2500 0.5000 0.7500
Pd 0.2500 0.0163 0.4039
Pd 0.2500 0.0000 0.7500
Pd 0.2500 0.9837 0.0961
Pd 0.2500 0.2500 0.5840
Pd 0.7500 0.0000 0.2500
Pd 0.2500 0.7500 0.9160
Sc 0.2500 0.2500 0.9327
Sc 0.2500 0.7500 0.5673
Sc 0.7500 0.2500 0.4327
Sc 0.7500 0.7500 0.0673
Al 0.2500 0.2499 0.2330
Al 0.7500 0.2501 0.7330
Al 0.7500 0.7501 0.7670
Al 0.2500 0.7499 0.2670


## SmDy2Y5 (PBE)

Data for a geometry-optimized SmDy2Y5 structure.

Formation energy from the elements ... 252.1 meV/atom

a b c (Å): 7.1282 14.6487 9.9576
angles (deg): 90.00 90.00 148.31
Sites, in units of the cell vectors:
Y 0.5100 0.7220 0.7500
Y 0.4900 0.2780 0.2500
Y 0.6326 0.3630 0.5910
Y 0.3674 0.6370 0.4090
Y 0.2506 0.0005 0.5284
Y 0.3674 0.6370 0.0910
Y 0.7494 0.9995 0.4716
Y 0.6326 0.3630 0.9090
Y 0.2506 0.0005 0.9716
Y 0.7494 0.9995 0.0284
Dy 0.1393 0.3637 0.5924
Dy 0.1393 0.3637 0.9076
Dy 0.8607 0.6363 0.0924
Dy 0.8607 0.6363 0.4076
Sm 0.9859 0.2795 0.2500
Sm 0.0141 0.7205 0.7500


## TlTe2Au (PBE)

Data for a geometry-optimized TlTe2Au structure.

a b c (Å): 5.3451 5.3451 5.3451
angles (deg): 60.00 60.00 60.00
Sites, in units of the cell vectors:
Au 0.0000 0.0000 0.0000
Tl 0.5000 0.5000 0.5000
Te 0.7500 0.7500 0.7500
Te 0.2500 0.2500 0.2500


no.,spin magnetization (μB/f.u.),total energy (eV/atom),calculated volume (Å³ per cell)
1,0.00,-5.9554,380
2,0.00,-5.5283,546
3,0.00,-2.7392,108